# PBE-GGA Hf3ZrOs, relaxed
data_Hf3ZrOs
_cell_length_a 4.909
_cell_length_b 4.909
_cell_length_c 4.909
_cell_angle_alpha 90.00
_cell_angle_beta 90.00
_cell_angle_gamma 90.00
_space_group_name_H-M_alt 'P 1'
_space_group_IT_number 1
_space_group_name_Hall 'P 1'
loop_
_atom_site_label
_atom_site_type_symbol
_atom_site_fract_x
_atom_site_fract_y
_atom_site_fract_z
Hf1 Hf 0.000 0.500 0.000
Hf2 Hf 0.000 0.000 0.500
Hf3 Hf 0.500 0.000 0.000
Os1 Os 0.500 0.500 0.500
Zr1 Zr 0.000 0.000 0.000
# * ΔE to the lowest computed polymorph: 37.521 kcal/mol of atoms
# * crystal system: cubic
# * final energy: -40.96 eV for the cell shown
# * D(E_F): 1.196 states/eV/atom
# * magnetization: 0.000 μB/f.u.
# * E_form: 1.735 eV/atom